Record 1
PBE Ti2HPdAu, optimized geometry; polymorph energy (0 for the lowest one) = 0.000 eV/atom; space-group type = P4/mmm (123)
1.0
4.050 0.000 0.000
0.000 4.050 0.000
0.000 0.000 4.066
Ti H Pd Au
2 1 1 1
Cartesian
0.000 2.025 0.000
2.025 0.000 0.000
0.000 0.000 0.000
0.000 0.000 2.033
2.025 2.025 2.033

Record 2
PBE Mo2RuRh, optimized geometry; polymorph energy (0 for the lowest one) = 0.004 eV/atom; formation energy = -30 kJ/mol of formula units; space-group type = P4/mmm (123)
1.0
3.923 0.000 0.000
0.000 3.923 0.000
0.000 0.000 3.862
Mo Ru Rh
2 1 1
Cartesian
0.000 1.962 0.000
1.962 0.000 0.000
0.000 0.000 1.931
1.962 1.962 1.931

Record 3
PBE Sr2SeCl, optimized geometry; polymorph energy (0 for the lowest one) = 0.211 eV/atom; ΔE_f (raw) = -1627 meV/atom; space-group type = Immm (71)
1.0
-2.147 3.741 4.288
2.147 -3.741 4.288
2.147 3.741 -4.288
Sr Se Cl
2 1 1
Cartesian
0.000 0.000 2.138
0.000 0.000 6.438
2.147 0.000 0.000
0.000 3.741 0.000

Record 4
PBE MgScTlHg, optimized geometry; polymorph energy (0 for the lowest one) = 0.010 eV/atom; formation energy = -100 kJ/mol of formula units; space-group type = F-43m (216)
1.0
0.000 3.552 3.552
3.552 0.000 3.552
3.552 3.552 0.000
Mg Sc Tl Hg
1 1 1 1
Cartesian
0.000 0.000 0.000
3.552 3.552 3.552
5.328 5.328 5.328
1.776 1.776 1.776

Record 5
PBE YCdCu5, optimized geometry; formation energy = -123 kJ/mol of formula units; space-group type = Pnma (62)
1.0
8.293 0.000 0.000
0.000 5.035 0.000
0.000 0.000 10.501
Y Cd Cu
4 4 20
Cartesian
2.044 1.259 0.668
2.102 3.776 5.918
6.191 1.259 4.583
6.248 3.776 9.833
1.125 3.776 9.069
3.021 1.259 3.819
5.272 3.776 6.683
7.167 1.259 1.432
0.439 3.776 1.126
0.569 0.010 3.293
0.569 2.507 3.293
0.695 1.259 5.424
1.542 1.259 7.786
2.605 3.776 2.535
3.451 3.776 0.173
3.577 2.528 8.543
3.577 5.024 8.543
3.707 1.259 6.377
4.586 3.776 4.124
4.715 0.010 1.958
4.715 2.507 1.958
4.841 1.259 10.328
5.688 1.259 7.966
6.751 3.776 2.715
7.598 3.776 5.077
7.724 2.528 7.208
7.724 5.024 7.208
7.853 1.259 9.375

Record 6
PBE BeAl4As, optimized geometry; formation energy = 269 kJ/mol of formula units; space-group type = F-43m (216)
1.0
0.000 3.713 3.713
3.713 0.000 3.713
3.713 3.713 0.000
Be Al As
1 4 1
Cartesian
0.000 0.000 0.000
2.783 2.783 2.783
4.643 4.643 2.783
4.643 2.783 4.643
2.783 4.643 4.643
5.569 5.569 5.569

Record 7
PBE Cs2NaAc, optimized geometry; formation energy = 128 kJ/mol of formula units; space-group type = R-3m (166)
1.0
2.102 1.214 15.573
-2.102 1.214 15.573
0.000 -2.427 15.573
Cs Na Ac
2 1 1
Cartesian
0.000 0.000 4.097
0.000 0.000 42.623
0.000 0.000 23.360
0.000 0.000 0.000

Record 8
PBE Cu2TcPt, optimized geometry; polymorph energy (0 for the lowest one) = 0.068 eV/atom; formation energy = 20 kJ/mol of formula units; space-group type = C2/m (12)
1.0
4.380 -1.331 0.000
4.380 1.331 0.000
-0.751 0.000 4.712
Cu Tc Pt
2 1 1
Cartesian
1.999 0.000 1.153
6.009 0.000 3.559
4.380 0.000 0.000
-0.375 0.000 2.356

Record 9
PBE RbBa2Ca, optimized geometry; polymorph energy (0 for the lowest one) = 0.063 eV/atom; formation energy = 59 kJ/mol of formula units; space-group type = Fm-3m (225)
1.0
0.000 4.988 4.988
4.988 0.000 4.988
4.988 4.988 0.000
Rb Ba Ca
1 2 1
Cartesian
0.000 0.000 0.000
2.494 2.494 2.494
7.482 7.482 7.482
4.988 4.988 4.988

Record 10
PBE NbCCl2, optimized geometry; polymorph energy (0 for the lowest one) = 0.942 eV/atom; ΔE_f (raw) = 1187 meV/atom; space-group type = Fm-3m (225)
1.0
0.000 3.061 3.061
3.061 0.000 3.061
3.061 3.061 0.000
Nb C Cl
1 1 2
Cartesian
0.000 0.000 0.000
3.061 3.061 3.061
1.531 1.531 1.531
4.592 4.592 4.592

Record 11
PBE NpTi2Zn, optimized geometry; polymorph energy (0 for the lowest one) = 0.075 eV/atom; formation energy = 56 kJ/mol of formula units; space-group type = R-3m (166)
1.0
1.424 0.822 9.906
-1.424 0.822 9.906
0.000 -1.644 9.906
Np Ti Zn
1 2 1
Cartesian
0.000 0.000 0.000
0.000 0.000 7.275
0.000 0.000 22.444
0.000 0.000 14.859

Record 12
PBE Na3Ho3SnS8, optimized geometry; ΔE_f (raw) = -1540 meV/atom; space-group type = R-3m (166)
1.0
3.922 2.264 6.764
-3.922 2.264 6.764
0.000 -4.528 6.764
Na Ho Sn S
3 3 1 8
Cartesian
-1.961 -1.132 6.764
-1.961 1.132 13.529
0.000 2.264 6.764
-3.922 0.000 10.147
-1.961 1.132 3.382
1.961 1.132 3.382
0.000 0.000 10.147
0.000 0.000 4.891
-1.872 -1.081 11.629
0.000 -2.161 8.664
-1.872 1.081 8.664
1.872 -1.081 11.629
0.000 2.161 11.629
1.872 1.081 8.664
0.000 0.000 15.402